Record 1
Below is crystalline YbGa2Ir at its relaxed geometry, with properties calculated at the PBE level.

POSCAR file:
```
YbGa2Ir
1.0
4.579 0.000 0.000
2.290 3.966 0.000
2.290 1.322 3.739
Yb Ga Ir
1 2 1
Cartesian
0.000 0.000 0.000 Yb
2.290 1.322 0.935 Ga
6.869 3.966 2.804 Ga
4.579 2.644 1.870 Ir
```

Calculated total energy = -4.62 eV per atom
ΔE_f = -0.51 eV per atom


Record 2
Below is crystalline Zn3GaIr at its relaxed geometry, with properties calculated at the PBE level.

POSCAR file:
```
Zn3GaIr
1.0
7.143 0.345 0.397
-0.380 6.597 1.171
-0.380 0.254 6.695
Zn Ir Ga
12 4 4
Cartesian
4.944 4.685 6.796 Zn
2.853 0.229 1.743 Zn
1.372 5.915 5.376 Zn
-0.145 6.462 3.256 Zn
-0.042 5.328 7.599 Zn
2.956 4.686 1.216 Zn
3.529 6.968 6.520 Zn
3.427 2.510 7.047 Zn
6.425 1.868 0.664 Zn
5.010 1.281 2.888 Zn
1.438 2.512 1.467 Zn
6.527 0.734 5.007 Zn
1.405 1.139 6.099 Ir
4.977 6.058 2.164 Ir
4.977 2.816 4.987 Ir
1.405 4.381 3.276 Ir
0.238 3.332 5.264 Ga
3.810 4.929 4.221 Ga
6.144 3.865 2.999 Ga
2.572 2.267 4.042 Ga
```

Calculated total energy = -3.32 eV per atom
Energy above the most stable polymorph in this dataset = 33.2 meV per atom
ΔE_f = -0.18 eV per atom


Record 3
Below is crystalline Zn8GaIr2 at its relaxed geometry, with properties calculated at the PBE level.

POSCAR file:
```
Zn8GaIr2
1.0
4.206 -0.008 0.000
0.017 7.885 0.000
0.009 3.943 5.195
Ir Zn Ga
2 8 1
Cartesian
0.009 3.943 1.306 Ir
0.017 7.885 3.889 Ir
0.016 6.545 1.457 Zn
2.120 7.881 2.578 Zn
4.216 5.275 3.738 Zn
2.112 3.939 2.617 Zn
2.109 2.636 0.000 Zn
4.208 1.332 1.457 Zn
2.115 5.241 0.000 Zn
0.024 10.488 3.738 Zn
2.103 -0.004 0.000 Ga
```

Calculated total energy = -2.90 eV per atom
ΔE_f = -0.09 eV per atom


Record 4
Below is crystalline ZnGa4Ir5 at its relaxed geometry, with properties calculated at the PBE level.

POSCAR file:
```
ZnGa4Ir5
1.0
-2.510 1.596 0.681
-1.735 -2.282 -1.047
-0.193 -6.241 13.923
Ir Ga Zn
5 4 1
Cartesian
-2.142 -0.982 1.242 Ir
-2.257 -4.710 9.560 Ir
-2.219 -3.464 6.779 Ir
-2.180 -2.217 3.997 Ir
-2.295 -5.945 12.315 Ir
-0.077 -2.490 5.554 Ga
-0.116 -3.752 8.370 Ga
-0.038 -1.222 2.725 Ga
-0.155 -5.020 11.198 Ga
0.000 0.000 0.000 Zn
```

Calculated total energy = -6.15 eV per atom
ΔE_f = -0.38 eV per atom